Compound: RbRh2Cl
Source: the Alexandria database
Functional: PBE
Structure: relaxed

a b c (Å): 4.8513 4.8513 4.8513
angles (deg): 60.00 60.00 60.00
Element x y z (fractional)
Rb 0.0000 0.0000 0.0000
Rh 0.2500 0.2500 0.2500
Rh 0.7500 0.7500 0.7500
Cl 0.5000 0.5000 0.5000

E_form (uncorrected) = 24.20 kcal/mol of atoms
Space-group type = No. 225
Excess energy over the best structure of this formula in the dataset = 825 meV per atom

Compound: ThMgTc
Source: the Alexandria database
Functional: PBE
Structure: relaxed

a b c (Å): 6.3695 6.3695 6.3695
angles (deg): 148.61 148.61 44.99
Element x y z (fractional)
Th 0.0000 0.0000 0.0000
Mg 0.7313 0.7313 0.0000
Tc 0.3636 0.3636 0.0000

Space-group type = No. 107
Formation energy from the elements = 0.122 eV/atom
Excess energy over the best structure of this formula in the dataset = 191 meV per atom

Compound: ZnRe2Ag
Source: the Alexandria database
Functional: PBE
Structure: relaxed

a b c (Å): 5.6204 5.6204 5.6204
angles (deg): 151.48 132.23 56.58
Element x y z (fractional)
Zn 0.0000 0.0000 0.0000
Re 0.2279 0.7279 0.5000
Re 0.7721 0.2721 0.5000
Ag 0.5000 0.5000 0.0000

Space-group type = No. 71
Formation energy from the elements = 0.458 eV/atom

Compound: Ge2PdPt
Source: the Alexandria database
Functional: PBE
Structure: relaxed

a b c (Å): 4.4993 4.4993 4.4993
angles (deg): 60.00 60.00 60.00
Element x y z (fractional)
Ge 0.2500 0.2500 0.2500
Ge 0.7500 0.7500 0.7500
Pd 0.0000 0.0000 0.0000
Pt 0.5000 0.5000 0.5000

Space-group type = No. 225
Formation energy from the elements = -0.222 eV/atom
Excess energy over the best structure of this formula in the dataset = 198 meV per atom

Compound: Hg2RhCl
Source: the Alexandria database
Functional: PBE
Structure: relaxed

a b c (Å): 3.7486 3.7486 6.7836
angles (deg): 90.00 90.00 90.00
Element x y z (fractional)
Hg 0.0000 0.0000 0.0000
Hg 0.5000 0.5000 0.3170
Rh 0.0000 0.0000 0.3899
Cl 0.5000 0.5000 0.7861

E_form (uncorrected) = 4.13 kcal/mol of atoms
Space-group type = No. 99
Excess energy over the best structure of this formula in the dataset = 175 meV per atom

In eV per atom, the E values for the records above are, in order, -3.33; -6.34; -6.80; -5.34; -2.27.
In A^3/atom, the volume values for the records above are, in order, 20.183; 23.299; 15.593; 16.102; 23.831.